{
  "formula": "Na2PHO3",
  "functional": "GGA-PBE",
  "state": "relaxed",
  "final_energy_ha_per_atom": -0.2057,
  "volume_a3_per_cell": 356.7,
  "space_group": "P2_1/c (14)",
  "lattice": [[-2.478, 6.109, 2.593], [-4.689, -2.109, 0.487], [-2.059, -4.857, 9.475]],
  "species": ["Na", "H", "O", "H", "P", "Na", "Na", "Na", "O", "P", "Na", "P", "O", "H", "Na", "Na", "H", "O", "O", "O", "O", "O", "P", "Na", "O", "O", "O", "O"],
  "fractional_positions": [[0.198, 0.113, 0.607], [0.928, 0.086, 0.089], [0.803, 0.329, 0.422], [0.072, 0.914, 0.911], [0.741, 0.245, 0.571], [0.557, 0.536, 0.244], [0.698, 0.887, 0.893], [0.802, 0.887, 0.393], [0.197, 0.671, 0.578], [0.759, 0.245, 0.071], [0.302, 0.113, 0.107], [0.259, 0.755, 0.429], [0.305, 0.492, 0.403], [0.572, 0.086, 0.589], [0.943, 0.536, 0.744], [0.443, 0.464, 0.756], [0.428, 0.914, 0.411], [0.695, 0.508, 0.597], [0.121, 0.962, 0.320], [0.697, 0.329, 0.922], [0.805, 0.508, 0.097], [0.879, 0.038, 0.680], [0.241, 0.755, 0.929], [0.057, 0.464, 0.256], [0.621, 0.038, 0.180], [0.303, 0.671, 0.078], [0.195, 0.492, 0.903], [0.379, 0.962, 0.820]]
}